! GGA-PBE Tb8Er6Th, relaxed; values from VASP
! Energy relative to the elements in eV/atom: 0.13
! Space group: R-3
! Electronic total energy in eV/atom: -4.663
! DOS(E_F) in states/eV per cell: 23.41
&SYSTEM
  ibrav = 0, nat = 15, ntyp = 3
/
ATOMIC_SPECIES
Tb 158.93 Tb.upf
Er 167.26 Er.upf
Th 232.04 Th.upf
CELL_PARAMETERS angstrom
4.489 2.592 6.868
-4.489 2.592 6.868
0.000 -5.183 6.868
ATOMIC_POSITIONS angstrom
Tb 0.000 0.000 1.595
Tb -1.771 0.845 7.439
Tb 0.154 -1.956 7.439
Tb -1.617 -1.111 13.165
Tb 1.617 1.111 7.439
Tb -0.154 1.956 13.165
Tb 1.771 -0.845 13.165
Tb 0.000 0.000 19.008
Er -2.534 -2.175 9.454
Er -3.151 1.107 11.150
Er 0.617 -3.282 11.150
Er -0.617 3.282 9.454
Er 3.151 -1.107 9.454
Er 2.534 2.175 11.150
Th 0.000 0.000 10.302

---

! GGA-PBE TbEr3Th, relaxed; values from VASP
! Energy relative to the elements in eV/atom: 0.02
! Space group: P-1
! Electronic total energy in eV/atom: -5.124
! DOS(E_F) in states/eV per cell: 15.85
&SYSTEM
  ibrav = 0, nat = 10, ntyp = 3
/
ATOMIC_SPECIES
Tb 158.93 Tb.upf
Er 167.26 Er.upf
Th 232.04 Th.upf
CELL_PARAMETERS angstrom
6.231 0.000 0.000
-0.015 6.694 0.000
-3.100 -1.901 7.586
ATOMIC_POSITIONS angstrom
Tb 1.043 2.114 0.756
Tb 2.073 2.678 6.830
Er -2.043 4.997 5.298
Er 2.087 5.456 0.742
Er 1.003 4.064 3.778
Er 2.114 0.728 3.808
Er 1.029 -0.663 6.844
Er 5.160 -0.205 2.288
Th -1.065 1.662 5.283
Th 4.181 3.130 2.303